(1)
Entry from Alexandria: a relaxed structure of SbPtAu (GGA-PBE).

The structure belongs to space group I4mm (No. 107); the cell edges are 2.8480, 2.8480 and 16.3522 Å and the angles 90.00°, 90.00° and 90.00°. The inequivalent atoms are Sb at (0.0000, 0.0000, 0.0000), Pt at (0.0000, 0.0000, 0.8425) and Au at (0.0000, 0.0000, 0.6756).

The value obtained for the final energy is -4.19 eV/atom. The polymorph energy (0 for the lowest one) comes out at 479 meV per atom. For the formation energy without anion corrections, the calculation gives 83 kJ/mol of formula units.

***

(2)
Entry from Alexandria: a relaxed structure of SbPt2Au (GGA-PBE).

The structure belongs to space group R3m (No. 160, hexagonal axes); the cell edges are 3.9204, 3.9204 and 18.2779 Å and the angles 90.00°, 90.00° and 120.00°. The inequivalent atoms are Sb at (0.0000, 0.0000, 0.0000), Pt at (0.0000, 0.0000, 0.4117), Pt at (0.0000, 0.0000, 0.5864) and Au at (0.0000, 0.0000, 0.8298).

The value obtained for the final energy is -4.91 eV/atom. For the formation energy without anion corrections, the calculation gives -14 kJ/mol of formula units.

***

(3)
Entry from Alexandria: a relaxed structure of SbPtAu2 (GGA-PBE).

The structure belongs to space group C2/m (No. 12); the cell edges are 5.6237, 9.9441 and 3.9943 Å and the angles 90.00°, 134.49° and 90.00°. The inequivalent atoms are Sb at (0.0000, 0.0000, 0.0000), Pt at (0.0000, 0.5000, 0.0000) and Au at (0.2500, 0.2500, 0.5000).

The value obtained for the final energy is -4.21 eV/atom. For the formation energy without anion corrections, the calculation gives -11 kJ/mol of formula units.